1.
Y2PdRh | PBE | relaxed

Lattice parameters (Å, degrees): 6.116 6.116 6.116 61.65 150.22 127.37
Element x y z (fractional)
Y1 0.000 0.246 0.246
Y2 0.000 0.754 0.754
Pd1 0.000 0.500 0.500
Rh1 0.000 0.000 0.000

2.
Y2PdRh | PBE | relaxed

Lattice parameters (Å, degrees): 3.471 3.471 6.982 90.00 90.00 90.00
Element x y z (fractional)
Rh1 0.500 0.500 0.000
Pd1 0.500 0.500 0.500
Y1 0.000 0.000 0.241
Y2 0.000 0.000 0.759

3.
Y2Pd2Rh | PBE | relaxed

Lattice parameters (Å, degrees): 7.641 7.641 3.628 90.00 90.00 90.00
Element x y z (fractional)
Y1 0.829 0.671 0.000
Y2 0.671 0.171 0.000
Y3 0.171 0.329 0.000
Y4 0.329 0.829 0.000
Rh1 0.500 0.500 0.000
Rh2 0.000 0.000 0.000
Pd1 0.370 0.130 0.500
Pd2 0.130 0.630 0.500
Pd3 0.870 0.370 0.500
Pd4 0.630 0.870 0.500

Output
offset from the most stable computed form = 173 meV per atom

4.
Y7Pd2Rh2 | PBE | relaxed

Lattice parameters (Å, degrees): 6.628 6.974 6.628 90.03 107.01 89.97
Element x y z (fractional)
Y1 0.000 0.737 0.500
Y2 0.000 0.000 0.000
Y3 0.500 0.263 0.000
Y4 0.000 0.263 0.500
Y5 0.500 0.737 0.000
Y6 0.500 0.257 0.500
Y7 0.500 0.743 0.500
Pd1 0.809 0.500 0.809
Pd2 0.191 0.500 0.191
Rh1 0.287 0.000 0.713
Rh2 0.713 0.000 0.287

Output
offset from the most stable computed form = 175 meV per atom

5.
Y2PdRh | PBE | relaxed

Lattice parameters (Å, degrees): 4.918 4.918 4.918 60.00 60.00 60.00
Element x y z (fractional)
Y1 0.500 0.500 0.500
Y2 0.000 0.000 0.000
Pd1 0.750 0.750 0.750
Rh1 0.250 0.250 0.250

6.
Y6PdRh5 | PBE | relaxed

Lattice parameters (Å, degrees): 4.838 7.014 7.663 90.00 71.45 90.00
Element x y z (fractional)
Rh1 0.334 0.000 0.332
Rh2 0.333 0.500 0.333
Rh3 0.667 0.500 0.667
Rh4 0.000 0.500 0.000
Rh5 0.666 0.000 0.668
Y1 0.832 0.251 0.337
Y2 0.500 0.253 0.000
Y3 0.168 0.251 0.663
Y4 0.168 0.749 0.663
Y5 0.832 0.749 0.337
Y6 0.500 0.747 0.000
Pd1 0.000 0.000 0.000

7.
Y2PdRh2 | PBE | relaxed

Lattice parameters (Å, degrees): 7.199 7.199 3.879 90.00 90.00 90.00
Element x y z (fractional)
Pd1 0.000 0.000 0.000
Pd2 0.500 0.500 0.000
Y1 0.324 0.176 0.500
Y2 0.176 0.676 0.500
Y3 0.824 0.324 0.500
Y4 0.676 0.824 0.500
Rh1 0.869 0.631 0.000
Rh2 0.631 0.131 0.000
Rh3 0.131 0.369 0.000
Rh4 0.369 0.869 0.000

Output
offset from the most stable computed form = 0 meV per atom

8.
Y8Pd2Rh | PBE | relaxed

Lattice parameters (Å, degrees): 5.109 6.764 9.065 104.75 106.37 90.00
Element x y z (fractional)
Y1 0.590 0.442 0.180
Y2 0.410 0.558 0.820
Y3 0.203 0.320 0.405
Y4 0.033 0.789 0.065
Y5 0.797 0.680 0.595
Y6 0.335 0.026 0.671
Y7 0.967 0.211 0.935
Y8 0.665 0.974 0.329
Rh1 0.500 0.000 0.000
Pd1 0.811 0.276 0.623
Pd2 0.189 0.724 0.377

Output
offset from the most stable computed form = 0 meV per atom

Computed DFT formation energy (eV/f.u.) in order:
0.922; -3.502; -2.722; -5.289; -3.458; -10.204; -3.785; -5.233
Computed total DFT energy (no corrections) (eV/cell) in order:
-24.550; -28.974; -66.774; -75.626; -28.931; -90.939; -73.217; -74.683